Compound: MnTlAsO5
Source: Alexandria via LeMat-Bulk
Functional: GGA+U
Structure: relaxed

a = 6.196 Å, b = 6.196 Å, c = 7.298 Å
α = 106.81°, β = 106.81°, γ = 97.59°
Sites, in units of the cell vectors:
1 Mn 0.322 0.678 0.250
2 Mn 0.678 0.322 0.750
3 Tl 0.000 0.000 0.500
4 Tl 0.000 0.000 0.000
5 As 0.632 0.368 0.250
6 As 0.368 0.632 0.750
7 O 0.104 0.896 0.250
8 O 0.896 0.104 0.750
9 O 0.751 0.278 0.063
10 O 0.249 0.722 0.937
11 O 0.722 0.249 0.437
12 O 0.278 0.751 0.563
13 O 0.681 0.669 0.351
14 O 0.319 0.331 0.649
15 O 0.331 0.319 0.149
16 O 0.669 0.681 0.851

raw total energy = -6.090 eV/atom
space group = C2/c
calculated density = 5.51 g/cm³